No. 1
TaHOs3: PBEsol geometry, SCAN.

Output
- raw total energy (eV per atom) = -57.228

Lattice parameters (Å, degrees): 3.934 3.934 3.934 90.00 90.00 90.00
Fractional coordinates of all 5 atoms:
Ta 0.000 0.000 0.000
H 0.500 0.500 0.500
Os 0.000 0.500 0.500
Os 0.500 0.000 0.500
Os 0.500 0.500 0.000


No. 2
Tc2H2Os: PBEsol geometry, SCAN.

Output
- raw total energy (eV per atom) = -29.672

Lattice parameters (Å, degrees): 6.258 6.258 6.258 153.92 153.92 37.22
Fractional coordinates of all 5 atoms:
Tc 0.151 0.151 0.000
Tc 0.849 0.849 0.000
H 0.250 0.750 0.500
H 0.750 0.250 0.500
Os 0.500 0.500 0.000


No. 3
TiH3Os: PBEsol geometry, SCAN.

Output
- raw total energy (eV per atom) = -19.604

Lattice parameters (Å, degrees): 3.440 3.440 3.440 90.00 90.00 90.00
Fractional coordinates of all 5 atoms:
Ti 0.000 0.000 0.000
H 0.000 0.500 0.500
H 0.500 0.000 0.500
H 0.500 0.500 0.000
Os 0.500 0.500 0.500


No. 4
Ti2H2Os: PBEsol geometry, SCAN.

Output
- raw total energy (eV per atom) = -22.838

Lattice parameters (Å, degrees): 5.946 5.946 5.946 150.85 150.85 41.70
Fractional coordinates of all 5 atoms:
Ti 0.142 0.142 0.000
Ti 0.858 0.858 0.000
H 0.250 0.750 0.500
H 0.750 0.250 0.500
Os 0.500 0.500 0.000


No. 5
TlH3Os: PBEsol geometry, SCAN.

Output
- raw total energy (eV per atom) = -28.957

Lattice parameters (Å, degrees): 3.769 3.769 3.769 90.00 90.00 90.00
Fractional coordinates of all 5 atoms:
Tl 0.000 0.000 0.000
H 0.000 0.000 0.500
H 0.000 0.500 0.000
H 0.500 0.000 0.000
Os 0.500 0.500 0.500


No. 6
V3HOs: PBEsol geometry, SCAN.

Output
- raw total energy (eV per atom) = -25.710

Lattice parameters (Å, degrees): 3.804 3.804 3.804 90.00 90.00 90.00
Fractional coordinates of all 5 atoms:
V 0.000 0.000 0.500
V 0.000 0.500 0.000
V 0.500 0.000 0.000
H 0.000 0.000 0.000
Os 0.500 0.500 0.500


No. 7
HOs2W: PBEsol geometry, SCAN.

Output
- raw total energy (eV per atom) = -53.507

Lattice parameters (Å, degrees): 4.183 4.183 4.183 60.00 60.00 60.00
Fractional coordinates of all 4 atoms:
H 0.000 0.000 0.000
Os 0.250 0.250 0.250
Os 0.750 0.750 0.750
W 0.500 0.500 0.500


No. 8
H2OsW: PBEsol geometry, SCAN.

Output
- raw total energy (eV per atom) = -35.985

Lattice parameters (Å, degrees): 3.733 3.733 3.733 60.00 60.00 60.00
Fractional coordinates of all 4 atoms:
H 0.250 0.250 0.250
H 0.750 0.750 0.750
Os 0.000 0.000 0.000
W 0.500 0.500 0.500


No. 9
YH3Os: PBEsol geometry, SCAN.

Output
- raw total energy (eV per atom) = -22.378

Lattice parameters (Å, degrees): 3.623 3.623 3.623 90.00 90.00 90.00
Fractional coordinates of all 5 atoms:
Y 0.000 0.000 0.000
H 0.000 0.500 0.500
H 0.500 0.000 0.500
H 0.500 0.500 0.000
Os 0.500 0.500 0.500


No. 10
ZnH3Os: PBEsol geometry, SCAN.

Output
- raw total energy (eV per atom) = -18.776

Lattice parameters (Å, degrees): 3.429 3.429 3.429 90.00 90.00 90.00
Fractional coordinates of all 5 atoms:
Zn 0.000 0.000 0.000
H 0.000 0.500 0.500
H 0.500 0.000 0.500
H 0.500 0.500 0.000
Os 0.500 0.500 0.500


No. 11
Zr2H2Os: PBEsol geometry, SCAN.

Output
- raw total energy (eV per atom) = -28.740

Lattice parameters (Å, degrees): 6.446 6.446 6.446 151.42 151.42 40.86
Fractional coordinates of all 5 atoms:
Zr 0.137 0.137 0.000
Zr 0.863 0.863 0.000
H 0.250 0.750 0.500
H 0.750 0.250 0.500
Os 0.500 0.500 0.000


No. 12
Zr3HOs: PBEsol geometry, SCAN.

Output
- raw total energy (eV per atom) = -33.651

Lattice parameters (Å, degrees): 4.295 4.295 4.295 90.00 90.00 90.00
Fractional coordinates of all 5 atoms:
Zr 0.000 0.000 0.500
Zr 0.000 0.500 0.000
Zr 0.500 0.000 0.000
H 0.000 0.000 0.000
Os 0.500 0.500 0.500


No. 13
PH2PbS: PBEsol geometry, SCAN.

Output
- raw total energy (eV per atom) = -20.142

Lattice parameters (Å, degrees): 3.908 3.908 4.930 90.00 90.00 90.00
Fractional coordinates of all 5 atoms:
P 0.000 0.000 0.000
H 0.000 0.500 0.000
H 0.500 0.000 0.000
Pb 0.500 0.500 0.500
S 0.000 0.000 0.500


No. 14
PHPdS2: PBEsol geometry, SCAN.

Output
- raw total energy (eV per atom) = -11.985

Lattice parameters (Å, degrees): 4.745 4.745 4.471 90.00 90.00 90.00
Fractional coordinates of all 5 atoms:
P 0.000 0.000 0.000
H 0.500 0.500 0.000
Pd 0.000 0.000 0.500
S 0.000 0.500 0.500
S 0.500 0.000 0.500


No. 15
PHPt3: PBEsol geometry, SCAN.

Output
- raw total energy (eV per atom) = -44.490

Lattice parameters (Å, degrees): 3.979 3.979 3.979 90.00 90.00 90.00
Fractional coordinates of all 5 atoms:
P 0.000 0.000 0.000
H 0.500 0.500 0.500
Pt 0.000 0.500 0.500
Pt 0.500 0.000 0.500
Pt 0.500 0.500 0.000


No. 16
PHRhS2: PBEsol geometry, SCAN.

Output
- raw total energy (eV per atom) = -12.588

Lattice parameters (Å, degrees): 4.295 4.295 3.203 90.00 90.00 90.00
Fractional coordinates of all 5 atoms:
P 0.000 0.000 0.000
H 0.000 0.000 0.500
Rh 0.500 0.500 0.000
S 0.000 0.500 0.500
S 0.500 0.000 0.500


No. 17
PHRu2: PBEsol geometry, SCAN.

Output
- raw total energy (eV per atom) = -20.913

Lattice parameters (Å, degrees): 4.765 4.765 4.765 107.33 107.33 113.84
Fractional coordinates of all 8 atoms:
P 0.000 0.000 0.000
P 0.750 0.250 0.500
H 0.250 0.750 0.500
H 0.500 0.500 0.000
Ru 0.199 0.625 0.074
Ru 0.375 0.449 0.574
Ru 0.551 0.125 0.926
Ru 0.875 0.801 0.426


No. 18
SiP2HS: PBEsol geometry, SCAN.

Output
- raw total energy (eV per atom) = -7.925

Lattice parameters (Å, degrees): 3.527 3.527 5.265 90.00 90.00 90.00
Fractional coordinates of all 5 atoms:
Si 0.000 0.000 0.000
P 0.000 0.500 0.500
P 0.500 0.000 0.500
H 0.500 0.500 0.500
S 0.500 0.500 0.000


No. 19
SnP2HS: PBEsol geometry, SCAN.

Output
- raw total energy (eV per atom) = -13.281

Lattice parameters (Å, degrees): 3.721 3.721 5.584 90.00 90.00 90.00
Fractional coordinates of all 5 atoms:
Sn 0.000 0.000 0.000
P 0.000 0.500 0.500
P 0.500 0.000 0.500
H 0.500 0.500 0.500
S 0.500 0.500 0.000


No. 20
TaPHS2: PBEsol geometry, SCAN.

Output
- raw total energy (eV per atom) = -19.574

Lattice parameters (Å, degrees): 4.707 4.707 4.845 90.00 90.00 90.00
Fractional coordinates of all 5 atoms:
Ta 0.000 0.000 0.000
P 0.000 0.000 0.500
H 0.500 0.500 0.500
S 0.000 0.500 0.000
S 0.500 0.000 0.000


No. 21
SbTe2PH: PBEsol geometry, SCAN.

Output
- raw total energy (eV per atom) = -24.109

Lattice parameters (Å, degrees): 5.191 5.191 5.208 90.00 90.00 90.00
Fractional coordinates of all 5 atoms:
Sb 0.000 0.000 0.000
Te 0.000 0.500 0.500
Te 0.500 0.000 0.500
P 0.000 0.000 0.500
H 0.500 0.500 0.000


No. 22
ScP2H: PBEsol geometry, SCAN.

Output
- raw total energy (eV per atom) = -9.353

Lattice parameters (Å, degrees): 4.318 4.318 4.318 60.00 60.00 60.00
Fractional coordinates of all 4 atoms:
Sc 0.000 0.000 0.000
P 0.250 0.250 0.250
P 0.750 0.750 0.750
H 0.500 0.500 0.500


No. 23
PH3Se: PBEsol geometry, SCAN.

Output
- raw total energy (eV per atom) = -7.017

Lattice parameters (Å, degrees): 3.633 3.633 3.633 90.00 90.00 90.00
Fractional coordinates of all 5 atoms:
P 0.000 0.000 0.000
H 0.000 0.500 0.500
H 0.500 0.000 0.500
H 0.500 0.500 0.000
Se 0.500 0.500 0.500


No. 24
SiP3H: PBEsol geometry, SCAN.

Output
- raw total energy (eV per atom) = -7.914

Lattice parameters (Å, degrees): 3.921 3.921 3.921 90.00 90.00 90.00
Fractional coordinates of all 5 atoms:
Si 0.000 0.000 0.000
P 0.000 0.500 0.500
P 0.500 0.000 0.500
P 0.500 0.500 0.000
H 0.500 0.500 0.500


No. 25
Ta2PH: PBEsol geometry, SCAN.

Output
- raw total energy (eV per atom) = -37.288

Lattice parameters (Å, degrees): 4.700 4.700 4.853 104.44 104.44 88.14
Fractional coordinates of all 8 atoms:
Ta 0.000 0.000 0.000
Ta 0.101 0.607 0.401
Ta 0.507 0.507 0.006
Ta 0.607 0.101 0.401
P 0.454 0.956 0.807
P 0.956 0.454 0.807
H 0.187 0.187 0.399
H 0.519 0.519 0.404


No. 26
Tc3PH: PBEsol geometry, SCAN.

Output
- raw total energy (eV per atom) = -22.402

Lattice parameters (Å, degrees): 4.300 4.300 4.300 90.00 90.00 90.00
Fractional coordinates of all 5 atoms:
Tc 0.000 0.000 0.500
Tc 0.000 0.500 0.000
Tc 0.500 0.000 0.000
P 0.000 0.000 0.000
H 0.500 0.500 0.500


No. 27
Te2PH: PBEsol geometry, SCAN.

Output
- raw total energy (eV per atom) = -21.688

Lattice parameters (Å, degrees): 7.361 7.361 7.361 31.51 31.51 31.51
Fractional coordinates of all 4 atoms:
Te 0.093 0.093 0.093
Te 0.907 0.907 0.907
P 0.500 0.500 0.500
H 0.000 0.000 0.000


No. 28
TiPH: PBEsol geometry, SCAN.

Output
- raw total energy (eV per atom) = -10.848

Lattice parameters (Å, degrees): 3.304 3.304 3.268 90.00 90.00 120.00
Fractional coordinates of all 3 atoms:
Ti 0.000 0.000 0.000
P 0.333 0.667 0.500
H 0.667 0.333 0.000


No. 29
Ti2PH2: PBEsol geometry, SCAN.

Output
- raw total energy (eV per atom) = -10.601

Lattice parameters (Å, degrees): 5.637 5.637 5.637 148.56 148.56 45.07
Fractional coordinates of all 5 atoms:
Ti 0.131 0.131 0.000
Ti 0.869 0.869 0.000
P 0.500 0.500 0.000
H 0.250 0.750 0.500
H 0.750 0.250 0.500